{
  "formula": "CsTiSe2",
  "functional": "PBE",
  "state": "relaxed",
  "lattice_angstrom": [[4.298, 0.000, 0.000], [-2.149, 3.722, 0.000], [0.000, 0.000, 27.048]],
  "species": ["Cs", "Cs", "Cs", "Ti", "Ti", "Ti", "Se", "Se", "Se", "Se", "Se", "Se"],
  "fractional_positions": [[0.000, 0.000, 0.000], [0.333, 0.667, 0.667], [0.667, 0.333, 0.333], [0.000, 0.000, 0.497], [0.333, 0.667, 0.164], [0.667, 0.333, 0.831], [0.000, 0.000, 0.134], [0.000, 0.000, 0.583], [0.333, 0.667, 0.250], [0.333, 0.667, 0.801], [0.667, 0.333, 0.467], [0.667, 0.333, 0.916]]
}


{
  "formula": "CsTiSe2",
  "functional": "PBE",
  "state": "relaxed",
  "lattice_angstrom": [[4.282, 0.000, 0.000], [-2.141, 3.709, 0.000], [0.000, 0.000, 8.433]],
  "species": ["Cs", "Ti", "Se", "Se"],
  "fractional_positions": [[0.000, 0.000, 0.000], [0.333, 0.667, 0.444], [0.333, 0.667, 0.716], [0.667, 0.333, 0.340]]
}


{
  "formula": "Cs2TiSe4",
  "functional": "PBE",
  "state": "relaxed",
  "lattice_angstrom": [[7.523, 0.000, 0.000], [0.000, 3.861, 0.000], [-2.709, 0.000, 8.129]],
  "species": ["Cs", "Cs", "Ti", "Se", "Se", "Se", "Se"],
  "fractional_positions": [[0.196, 0.000, 0.336], [0.804, 0.000, 0.664], [0.500, 0.500, 0.000], [0.129, 0.500, 0.934], [0.414, 0.000, 0.787], [0.586, 0.000, 0.213], [0.871, 0.500, 0.066]]
}


{
  "formula": "CsTiSe2",
  "functional": "PBE",
  "state": "relaxed",
  "lattice_angstrom": [[8.330, 0.000, 0.000], [0.000, 10.451, 0.000], [-4.078, 0.000, 7.247]],
  "species": ["Cs", "Cs", "Cs", "Cs", "Ti", "Ti", "Ti", "Ti", "Se", "Se", "Se", "Se", "Se", "Se", "Se", "Se"],
  "fractional_positions": [[0.000, 0.246, 0.000], [0.000, 0.754, 0.000], [0.500, 0.254, 0.000], [0.500, 0.746, 0.000], [0.030, 0.369, 0.499], [0.030, 0.631, 0.499], [0.530, 0.131, 0.499], [0.530, 0.869, 0.499], [0.134, 0.500, 0.781], [0.309, 0.290, 0.499], [0.309, 0.710, 0.499], [0.358, 0.000, 0.218], [0.634, 0.000, 0.781], [0.809, 0.210, 0.499], [0.809, 0.790, 0.499], [0.858, 0.500, 0.218]]
}


{
  "formula": "CsTiSe2",
  "functional": "PBE",
  "state": "relaxed",
  "lattice_angstrom": [[5.485, 0.000, 0.000], [0.000, 23.072, 0.000], [0.000, 0.000, 5.071]],
  "species": ["Cs", "Cs", "Cs", "Cs", "Ti", "Ti", "Ti", "Ti", "Se", "Se", "Se", "Se", "Se", "Se", "Se", "Se"],
  "fractional_positions": [[0.000, 0.169, 0.250], [0.000, 0.831, 0.750], [0.500, 0.331, 0.750], [0.500, 0.669, 0.250], [0.000, 0.434, 0.250], [0.000, 0.566, 0.750], [0.500, 0.066, 0.750], [0.500, 0.934, 0.250], [0.000, 0.332, 0.250], [0.000, 0.451, 0.750], [0.000, 0.549, 0.250], [0.000, 0.668, 0.750], [0.500, 0.049, 0.250], [0.500, 0.168, 0.750], [0.500, 0.832, 0.250], [0.500, 0.951, 0.750]]
}


{
  "formula": "Cs4TiSe4",
  "functional": "PBE",
  "state": "relaxed",
  "lattice_angstrom": [[-5.235, 5.235, 3.599], [5.235, -5.235, 3.599], [5.235, 5.235, -3.599]],
  "species": ["Cs", "Cs", "Cs", "Cs", "Ti", "Se", "Se", "Se", "Se"],
  "fractional_positions": [[0.083, 0.707, 0.790], [0.293, 0.083, 0.376], [0.707, 0.917, 0.624], [0.917, 0.293, 0.210], [0.500, 0.500, 0.000], [0.272, 0.426, 0.698], [0.426, 0.728, 0.154], [0.574, 0.272, 0.846], [0.728, 0.574, 0.302]],
  "polymorph_energy_ev_per_atom": 0.2906
}


| no. | formation energy from raw total energies (eV per atom) |
| --- | --- |
| 1 | -0.848 |
| 2 | -0.901 |
| 3 | -0.849 |
| 4 | -1.115 |
| 5 | -0.911 |
| 6 | -0.972 |